Compound: Np2Tl3NiSe6
Source: Alexandria via LeMat-Bulk
Functional: PBE
Structure: relaxed

D(E_F), states/eV/cell: 46.95

Structure (CIF):
```
data_Np2Tl3NiSe6
_chemical_formula_sum 'Np4 Tl6 Ni2 Se12'
_space_group_name_H-M_alt 'C 1 2/m 1'
_space_group_IT_number 12
_space_group_name_Hall '-C 2y'
_cell_length_a 6.9831
_cell_length_b 12.0754
_cell_length_c 8.1837
_cell_angle_alpha 90.00
_cell_angle_beta 106.67
_cell_angle_gamma 90.00
loop_
_atom_site_label
_atom_site_type_symbol
_atom_site_fract_x
_atom_site_fract_y
_atom_site_fract_z
Np1 Np 0.0000 0.1657 0.0000
Tl1 Tl 0.0000 0.0000 0.5000
Tl2 Tl 0.0000 0.3275 0.5000
Ni1 Ni 0.0000 0.5000 0.0000
Se1 Se 0.2222 0.3421 0.1935
Se2 Se 0.2470 0.0000 0.2000
```

=====

Compound: MnMoCl2
Source: Alexandria via LeMat-Bulk
Functional: PBE
Structure: relaxed

D(E_F), states/eV/cell: 2.62

Structure (CIF):
```
data_MnMoCl2
_chemical_formula_sum 'Mn1 Mo1 Cl2'
_space_group_name_H-M_alt 'P 4/m m m'
_space_group_IT_number 123
_space_group_name_Hall '-P 4 2'
_cell_length_a 3.1880
_cell_length_b 3.1880
_cell_length_c 6.3161
_cell_angle_alpha 90.00
_cell_angle_beta 90.00
_cell_angle_gamma 90.00
loop_
_atom_site_label
_atom_site_type_symbol
_atom_site_fract_x
_atom_site_fract_y
_atom_site_fract_z
Mn1 Mn 0.0000 0.0000 0.0000
Mo1 Mo 0.0000 0.0000 0.5000
Cl1 Cl 0.5000 0.5000 0.2445
```

=====

Compound: LaMoSe2
Source: Alexandria via LeMat-Bulk
Functional: PBE
Structure: relaxed

D(E_F), states/eV/cell: 25.24

Structure (CIF):
```
data_LaMoSe2
_chemical_formula_sum 'La3 Mo3 Se6'
_space_group_name_H-M_alt 'R -3 m'
_space_group_IT_number 166
_space_group_name_Hall '-R 3 2"'
_cell_length_a 3.7972
_cell_length_b 3.7972
_cell_length_c 26.6356
_cell_angle_alpha 90.00
_cell_angle_beta 90.00
_cell_angle_gamma 120.00
loop_
_atom_site_label
_atom_site_type_symbol
_atom_site_fract_x
_atom_site_fract_y
_atom_site_fract_z
La1 La 0.0000 0.0000 0.0000
Mo1 Mo 0.0000 0.0000 0.5000
Se1 Se 0.0000 0.0000 0.4092
```

=====

| no. | formation energy from raw total energies (eV per atom) |
| --- | --- |
| 1 | -0.657 |
| 2 | 0.545 |
| 3 | -0.067 |